DFT (PBE+U) results for a geometry-optimized Na3TaCo2O6 structure.

Results
As for the volume: 263 Å³ per cell. The calculation puts the uncorrected energy at -6.489 eV/atom.

abc: 5.323 9.214 5.639
angles: 90.00 108.24 90.00
Space group C2/m (No. 12)
Unique sites:
Na1 0.000 0.000 0.000 x2
Na2 0.000 0.326 0.000 x4
Ta1 0.000 0.500 0.500 x2
Co1 0.000 0.166 0.500 x4
O1 0.227 0.342 0.710 x8
O2 0.244 0.500 0.290 x4